{
  "formula": "RbHoC2O6",
  "functional": "GGA-PBE",
  "state": "relaxed",
  "cell": [[-1.538, 5.640, -2.701], [-6.096, -2.052, 0.317], [1.645, 1.696, 6.806]],
  "species": ["Rb", "Rb", "Ho", "Ho", "C", "C", "C", "C", "O", "O", "O", "O", "O", "O", "O", "O", "O", "O", "O", "O"],
  "frac_coords": [[0.109, 0.891, 0.250], [0.891, 0.109, 0.750], [0.593, 0.407, 0.250], [0.407, 0.593, 0.750], [0.402, 0.148, 0.758], [0.852, 0.598, 0.742], [0.598, 0.852, 0.242], [0.148, 0.402, 0.258], [0.947, 0.401, 0.246], [0.599, 0.053, 0.254], [0.053, 0.599, 0.754], [0.401, 0.947, 0.746], [0.219, 0.273, 0.126], [0.727, 0.781, 0.374], [0.781, 0.727, 0.874], [0.273, 0.219, 0.626], [0.299, 0.538, 0.404], [0.462, 0.701, 0.096], [0.701, 0.462, 0.596], [0.538, 0.299, 0.904]],
  "dos_at_fermi_per_ev_fu": 0.00,
  "raw_formation_energy_ev_per_atom": -2.1483,
  "m_tot_mub_per_atom": 0.00
}

---

{
  "formula": "Ho8C3S3O",
  "functional": "GGA-PBE",
  "state": "relaxed",
  "cell": [[-5.064, -4.021, 3.402], [5.712, -3.253, -3.190], [1.089, 3.950, 6.290]],
  "species": ["Ho", "Ho", "Ho", "Ho", "Ho", "Ho", "Ho", "Ho", "C", "C", "C", "S", "S", "S", "O"],
  "frac_coords": [[0.262, 0.523, 0.285], [0.738, 0.477, 0.715], [0.757, 0.514, 0.285], [0.243, 0.486, 0.715], [0.757, 0.027, 0.285], [0.243, 0.973, 0.715], [0.270, 0.027, 0.285], [0.730, 0.973, 0.715], [0.500, 0.000, 0.500], [0.500, 0.500, 0.500], [0.000, 0.500, 0.500], [0.000, 0.000, 0.000], [0.000, 0.500, 0.000], [0.500, 0.500, 0.000], [0.000, 0.000, 0.500]],
  "dos_at_fermi_per_ev_fu": 5.45,
  "raw_formation_energy_ev_per_atom": -1.4205,
  "m_tot_mub_per_atom": 0.00
}

---

{
  "formula": "Ho6C3S2O",
  "functional": "GGA-PBE",
  "state": "relaxed",
  "cell": [[3.640, 0.000, 0.000], [0.000, 7.435, 0.181], [-1.820, -2.233, 7.756]],
  "species": ["Ho", "Ho", "Ho", "Ho", "Ho", "Ho", "C", "C", "C", "S", "S", "O"],
  "frac_coords": [[0.331, 0.940, 0.663], [0.656, 0.605, 0.312], [0.669, 0.060, 0.337], [0.993, 0.252, 0.986], [0.007, 0.748, 0.014], [0.344, 0.395, 0.688], [0.500, 0.500, 0.000], [0.836, 0.163, 0.672], [0.164, 0.837, 0.328], [0.833, 0.667, 0.666], [0.167, 0.333, 0.334], [0.500, 0.000, 0.000]],
  "dos_at_fermi_per_ev_fu": 1.49,
  "raw_formation_energy_ev_per_atom": -1.3952,
  "m_tot_mub_per_atom": 0.00
}

---

{
  "formula": "Ho9Sb5CO4",
  "functional": "GGA-PBE",
  "state": "relaxed",
  "cell": [[9.875, 0.000, 0.000], [0.000, 9.875, 0.000], [0.000, 0.000, 8.969]],
  "species": ["C", "C", "Ho", "Ho", "Ho", "Ho", "Ho", "Ho", "Ho", "Ho", "Ho", "Ho", "Ho", "Ho", "Ho", "Ho", "Ho", "Ho", "Ho", "Ho", "O", "O", "O", "O", "O", "O", "O", "O", "Sb", "Sb", "Sb", "Sb", "Sb", "Sb", "Sb", "Sb", "Sb", "Sb"],
  "frac_coords": [[0.250, 0.250, 0.941], [0.750, 0.750, 0.059], [0.250, 0.250, 0.689], [0.750, 0.750, 0.311], [0.355, 0.955, 0.337], [0.145, 0.545, 0.337], [0.545, 0.355, 0.337], [0.955, 0.145, 0.337], [0.645, 0.045, 0.663], [0.855, 0.455, 0.663], [0.455, 0.645, 0.663], [0.045, 0.855, 0.663], [0.170, 0.026, 0.004], [0.330, 0.474, 0.004], [0.474, 0.170, 0.004], [0.026, 0.330, 0.004], [0.830, 0.974, 0.996], [0.670, 0.526, 0.996], [0.526, 0.830, 0.996], [0.974, 0.670, 0.996], [0.372, 0.976, 0.093], [0.128, 0.524, 0.093], [0.524, 0.372, 0.093], [0.976, 0.128, 0.093], [0.628, 0.024, 0.907], [0.872, 0.476, 0.907], [0.476, 0.628, 0.907], [0.024, 0.872, 0.907], [0.250, 0.250, 0.331], [0.750, 0.750, 0.669], [0.347, 0.942, 0.693], [0.153, 0.558, 0.693], [0.558, 0.347, 0.693], [0.942, 0.153, 0.693], [0.653, 0.058, 0.307], [0.847, 0.442, 0.307], [0.442, 0.653, 0.307], [0.058, 0.847, 0.307]],
  "dos_at_fermi_per_ev_fu": 2.54,
  "raw_formation_energy_ev_per_atom": -1.9174,
  "m_tot_mub_per_atom": 0.00
}

---

{
  "formula": "HoScCO",
  "functional": "GGA-PBE",
  "state": "relaxed",
  "cell": [[-2.435, -1.256, -1.346], [-0.971, -1.099, 2.781], [-1.275, 6.016, 0.155]],
  "species": ["Ho", "Sc", "C", "O"],
  "frac_coords": [[0.826, 0.326, 0.651], [0.083, 0.083, 0.166], [0.660, 0.660, 0.320], [0.411, 0.911, 0.822]],
  "dos_at_fermi_per_ev_fu": 0.80,
  "raw_formation_energy_ev_per_atom": -1.2987,
  "m_tot_mub_per_atom": 0.00
}

---

{
  "formula": "Ho2Sc2C2O",
  "functional": "GGA-PBE",
  "state": "relaxed",
  "cell": [[3.275, 0.000, 0.000], [1.637, 6.352, 0.102], [1.637, 2.495, 5.363]],
  "species": ["Ho", "Ho", "Sc", "Sc", "C", "C", "O"],
  "frac_coords": [[0.519, 0.253, 0.709], [0.481, 0.747, 0.291], [0.226, 0.715, 0.833], [0.774, 0.285, 0.167], [0.136, 0.465, 0.263], [0.864, 0.535, 0.737], [0.000, 0.000, 0.000]],
  "dos_at_fermi_per_ev_fu": 3.67,
  "raw_formation_energy_ev_per_atom": -0.9660,
  "m_tot_mub_per_atom": 0.00
}